[1]
NbAsPO2 after structural relaxation, computed with PBE.

abc: 3.784 3.784 4.963
angles: 90.00 90.00 90.00
Atoms (fractional coordinates):
Nb 0.000 0.000 0.000
As 0.500 0.500 0.500
P 0.500 0.500 0.000
O 0.000 0.500 0.500
O 0.500 0.000 0.500

Summary:
E_form (uncorrected) = -0.13 eV/atom
Offset from the most stable computed form = 880 meV/atom
D(E_F) = 4.93 states/eV/cell
M_tot = 1.8 μB per cell
Symmetry = P4/mmm, No. 123

---

[2]
MoSe5 after structural relaxation, computed with PBE.

abc: 6.426 6.426 7.971
angles: 112.18 112.18 29.63
Atoms (fractional coordinates):
Mo 0.000 0.000 0.000
Se 0.006 0.006 0.333
Se 0.316 0.316 0.711
Se 0.358 0.358 0.065
Se 0.533 0.533 0.773
Se 0.661 0.661 0.192

Summary:
E_form (uncorrected) = 0.00 eV/atom
Offset from the most stable computed form = 0 meV/atom
D(E_F) = 1.24 states/eV/cell
M_tot = 0.0 μB per cell
Symmetry = Cm, No. 8

---

[3]
HAuO2 after structural relaxation, computed with PBE.

abc: 6.335 5.708 4.860
angles: 90.00 90.00 90.00
Atoms (fractional coordinates):
H 0.013 0.053 0.000
H 0.487 0.553 0.500
H 0.513 0.447 0.000
H 0.987 0.947 0.500
Au 0.189 0.611 0.847
Au 0.311 0.111 0.347
Au 0.689 0.889 0.847
Au 0.811 0.389 0.347
O 0.052 0.094 0.575
O 0.085 0.341 0.103
O 0.415 0.841 0.603
O 0.448 0.594 0.075
O 0.552 0.406 0.575
O 0.585 0.159 0.103
O 0.915 0.659 0.603
O 0.948 0.906 0.075

Summary:
Offset from the most stable computed form = 225 meV/atom
D(E_F) = 0.40 states/eV/cell
M_tot = 0.0 μB per cell
Symmetry = Pna2_1, No. 33

---

[4]
Pr8YTm3 after structural relaxation, computed with PBE.

abc: 6.320 7.283 9.650
angles: 100.74 109.02 90.14
Atoms (fractional coordinates):
Pr 0.000 0.000 0.000
Pr 0.001 0.497 0.999
Pr 0.004 0.166 0.666
Pr 0.005 0.833 0.336
Pr 0.497 0.747 0.998
Pr 0.499 0.416 0.668
Pr 0.501 0.085 0.333
Pr 0.505 0.581 0.334
Y 0.505 0.916 0.669
Tm 0.001 0.334 0.335
Tm 0.503 0.249 0.000
Tm 0.999 0.665 0.664

Summary:
Energy of formation = 18 meV/atom
D(E_F) = 17.04 states/eV/cell
M_tot = 0.0 μB per cell
Symmetry = P1, No. 1

---

[5]
PmMgCoAu after structural relaxation, computed with PBE.

abc: 4.846 4.846 4.846
angles: 60.00 60.00 60.00
Atoms (fractional coordinates):
Pm 0.000 0.000 0.000
Mg 0.500 0.500 0.500
Co 0.250 0.250 0.250
Au 0.750 0.750 0.750

Summary:
Energy of formation = -239 meV/atom
D(E_F) = 2.88 states/eV/cell
M_tot = 0.9 μB per cell
Symmetry = F-43m, No. 216

---

[6]
GeBiBr3 after structural relaxation, computed with PBE.

abc: 5.484 5.484 5.484
angles: 90.00 90.00 90.00
Atoms (fractional coordinates):
Ge 0.000 0.000 0.000
Bi 0.500 0.500 0.500
Br 0.000 0.000 0.500
Br 0.000 0.500 0.000
Br 0.500 0.000 0.000

Summary:
E_form (uncorrected) = -0.04 eV/atom
Offset from the most stable computed form = 0 meV/atom
D(E_F) = 5.45 states/eV/cell
M_tot = 2.0 μB per cell
Symmetry = Pm-3m, No. 221

---

[7]
MgMnNb2C after structural relaxation, computed with PBE.

abc: 4.459 4.459 4.715
angles: 90.00 90.00 90.00
Atoms (fractional coordinates):
Mg 0.000 0.000 0.000
Mn 0.000 0.000 0.500
Nb 0.000 0.500 0.500
Nb 0.500 0.000 0.500
C 0.500 0.500 0.000

Summary:
Energy of formation = 1816 meV/atom
D(E_F) = 4.01 states/eV/cell
M_tot = 0.0 μB per cell
Symmetry = P4/mmm, No. 123

---

[8]
Tm3PuTh4Se8 after structural relaxation, computed with PBE.

abc: 8.473 8.473 8.473
angles: 56.64 56.64 56.64
Atoms (fractional coordinates):
Tm 0.000 0.500 0.500
Tm 0.500 0.000 0.500
Tm 0.500 0.500 0.000
Pu 0.000 0.000 0.000
Th 0.000 0.000 0.500
Th 0.000 0.500 0.000
Th 0.500 0.000 0.000
Th 0.500 0.500 0.500
Se 0.247 0.247 0.739
Se 0.247 0.739 0.247
Se 0.257 0.257 0.257
Se 0.261 0.753 0.753
Se 0.739 0.247 0.247
Se 0.743 0.743 0.743
Se 0.753 0.261 0.753
Se 0.753 0.753 0.261

Summary:
E_form (uncorrected) = -1.59 eV/atom
D(E_F) = 13.93 states/eV/cell
M_tot = 5.3 μB per cell
Symmetry = R-3m, No. 166

---

[9]
Re2NiBr after structural relaxation, computed with PBE.

abc: 9.909 9.909 9.909
angles: 158.12 158.12 31.13
Atoms (fractional coordinates):
Re 0.071 0.625 0.946
Re 0.375 0.321 0.446
Re 0.679 0.125 0.054
Re 0.875 0.929 0.554
Ni 0.000 0.000 0.000
Ni 0.750 0.250 0.500
Br 0.250 0.750 0.500
Br 0.500 0.500 0.000

Summary:
E_form (uncorrected) = 1.07 eV/atom
Offset from the most stable computed form = 602 meV/atom
D(E_F) = 6.09 states/eV/cell
M_tot = 0.0 μB per cell
Symmetry = I-42d, No. 122

---

[10]
TbHg2TeO6 after structural relaxation, computed with PBE.

abc: 5.972 5.972 5.972
angles: 58.02 58.02 58.02
Atoms (fractional coordinates):
Tb 0.000 0.000 0.000
Hg 0.249 0.249 0.249
Hg 0.751 0.751 0.751
Te 0.500 0.500 0.500
O 0.162 0.730 0.373
O 0.270 0.627 0.838
O 0.373 0.162 0.730
O 0.627 0.838 0.270
O 0.730 0.373 0.162
O 0.838 0.270 0.627

Summary:
E_form (uncorrected) = -1.31 eV/atom
D(E_F) = 2.84 states/eV/cell
M_tot = 0.0 μB per cell
Symmetry = R-3, No. 148

---

[11]
Tb8Zn2Cu after structural relaxation, computed with PBE.

abc: 8.482 8.482 8.482
angles: 145.58 119.92 71.12
Atoms (fractional coordinates):
Tb 0.123 0.341 0.782
Tb 0.127 0.127 0.000
Tb 0.329 0.000 0.329
Tb 0.441 0.659 0.782
Tb 0.559 0.341 0.218
Tb 0.671 0.000 0.671
Tb 0.873 0.873 0.000
Tb 0.877 0.659 0.218
Zn 0.299 0.799 0.500
Zn 0.701 0.201 0.500
Cu 0.000 0.500 0.500

Summary:
Energy of formation = -16 meV/atom
Offset from the most stable computed form = 102 meV/atom
D(E_F) = 12.91 states/eV/cell
M_tot = 0.0 μB per cell
Symmetry = Immm, No. 71

---

[12]
Li2AgSn after structural relaxation, computed with PBE.

abc: 4.453 4.453 3.542
angles: 90.00 90.00 90.00
Atoms (fractional coordinates):
Li 0.000 0.500 0.000
Li 0.500 0.000 0.000
Ag 0.000 0.000 0.500
Sn 0.500 0.500 0.500

Summary:
Energy of formation = -299 meV/atom
D(E_F) = 1.57 states/eV/cell
M_tot = 0.0 μB per cell
Symmetry = P4/mmm, No. 123